The following is a DFT calculation (PBE) of a geometry-optimized TcAg2Ir structure.

Its energy of formation is 3.9 kcal/mol of atoms. The polymorph energy (0 for the lowest one) is 0.000 eV per atom. The size of the total moment is 0.00 μB/atom. The mass density comes out at 12.947 Mg/m³.

It has space group P4mm (No. 99), with a = 2.8004 Å, b = 2.8004 Å, c = 8.2748 Å, α = 90.00°, β = 90.00° and γ = 90.00°. The inequivalent atoms are Tc at (0.0000, 0.0000, 0.0000), Ag at (0.0000, 0.0000, 0.5321), Ag at (0.5000, 0.5000, 0.2648) and Ir at (0.5000, 0.5000, 0.7968).